No. 1
# Ce2UTaN6 | Alexandria | PBE | relaxed
data_Ce2UTaN6
_chemical_formula_sum 'Ce4 U2 Ta2 N12'
_space_group_name_H-M_alt 'P 1'
_space_group_IT_number 1
_space_group_name_Hall 'P 1'
_cell_length_a 5.754
_cell_length_b 5.838
_cell_length_c 10.005
_cell_angle_alpha 90.00
_cell_angle_beta 124.95
_cell_angle_gamma 90.00
loop_
_atom_site_label
_atom_site_fract_x
_atom_site_fract_y
_atom_site_fract_z
_atom_site_occupancy
Ce1 0.241 0.047 0.251 1
Ce2 0.241 0.453 0.751 1
Ce3 0.759 0.547 0.249 1
Ce4 0.759 0.953 0.749 1
U1 0.500 0.000 0.000 1
U2 0.500 0.500 0.500 1
Ta1 0.000 0.000 0.500 1
Ta2 0.000 0.500 0.000 1
N1 0.141 0.201 0.944 1
N2 0.141 0.299 0.444 1
N3 0.234 0.696 0.941 1
N4 0.234 0.804 0.441 1
N5 0.354 0.034 0.744 1
N6 0.354 0.466 0.244 1
N7 0.646 0.534 0.756 1
N8 0.646 0.966 0.256 1
N9 0.766 0.196 0.559 1
N10 0.766 0.304 0.059 1
N11 0.859 0.701 0.556 1
N12 0.859 0.799 0.056 1
# - ΔE_f (raw): -1.35 eV per atom

=====

No. 2
# CeUTaN3 | Alexandria | PBE | relaxed
data_CeUTaN3
_chemical_formula_sum 'Ce2 U2 Ta2 N6'
_space_group_name_H-M_alt 'P 1'
_space_group_IT_number 1
_space_group_name_Hall 'P 1'
_cell_length_a 7.243
_cell_length_b 3.228
_cell_length_c 8.120
_cell_angle_alpha 90.00
_cell_angle_beta 92.03
_cell_angle_gamma 90.00
loop_
_atom_site_label
_atom_site_fract_x
_atom_site_fract_y
_atom_site_fract_z
_atom_site_occupancy
Ce1 0.120 0.250 0.338 1
Ce2 0.880 0.750 0.662 1
U1 0.392 0.750 0.666 1
U2 0.608 0.250 0.334 1
Ta1 0.151 0.250 0.934 1
Ta2 0.849 0.750 0.066 1
N1 0.140 0.750 0.103 1
N2 0.160 0.250 0.660 1
N3 0.389 0.750 0.398 1
N4 0.611 0.250 0.602 1
N5 0.840 0.750 0.340 1
N6 0.860 0.250 0.897 1
# - ΔE_f (raw): -1.03 eV per atom

=====

No. 3
# CeTa2VN4 | Alexandria | PBE | relaxed
data_CeTa2VN4
_chemical_formula_sum 'Ce2 Ta4 V2 N8'
_space_group_name_H-M_alt 'P 1'
_space_group_IT_number 1
_space_group_name_Hall 'P 1'
_cell_length_a 5.725
_cell_length_b 5.725
_cell_length_c 10.962
_cell_angle_alpha 90.00
_cell_angle_beta 90.00
_cell_angle_gamma 147.91
loop_
_atom_site_label
_atom_site_fract_x
_atom_site_fract_y
_atom_site_fract_z
_atom_site_occupancy
Ce1 0.101 0.899 0.750 1
Ce2 0.899 0.101 0.250 1
Ta1 0.370 0.630 0.546 1
Ta2 0.370 0.630 0.954 1
Ta3 0.630 0.370 0.046 1
Ta4 0.630 0.370 0.454 1
V1 0.163 0.837 0.250 1
V2 0.837 0.163 0.750 1
N1 0.000 0.000 0.000 1
N2 0.000 0.000 0.500 1
N3 0.268 0.732 0.111 1
N4 0.268 0.732 0.389 1
N5 0.442 0.558 0.750 1
N6 0.558 0.442 0.250 1
N7 0.732 0.268 0.611 1
N8 0.732 0.268 0.889 1
# - ΔE_f (raw): -1.12 eV per atom

=====

No. 4
# Ce2TaVN5 | Alexandria | PBE | relaxed
data_Ce2TaVN5
_chemical_formula_sum 'Ce4 Ta2 V2 N10'
_space_group_name_H-M_alt 'P 1'
_space_group_IT_number 1
_space_group_name_Hall 'P 1'
_cell_length_a 6.793
_cell_length_b 6.793
_cell_length_c 10.278
_cell_angle_alpha 90.00
_cell_angle_beta 90.00
_cell_angle_gamma 151.89
loop_
_atom_site_label
_atom_site_fract_x
_atom_site_fract_y
_atom_site_fract_z
_atom_site_occupancy
Ce1 0.110 0.890 0.500 1
Ce2 0.143 0.857 0.108 1
Ce3 0.857 0.143 0.608 1
Ce4 0.890 0.110 0.000 1
Ta1 0.213 0.787 0.819 1
Ta2 0.787 0.213 0.319 1
V1 0.477 0.523 0.274 1
V2 0.523 0.477 0.774 1
N1 0.047 0.953 0.859 1
N2 0.283 0.717 0.459 1
N3 0.319 0.681 0.189 1
N4 0.368 0.632 0.810 1
N5 0.492 0.508 0.598 1
N6 0.508 0.492 0.098 1
N7 0.632 0.368 0.310 1
N8 0.681 0.319 0.689 1
N9 0.717 0.283 0.959 1
N10 0.953 0.047 0.359 1
# - ΔE_f (raw): -1.31 eV per atom

=====

No. 5
# Ce2TaVN6 | Alexandria | PBE | relaxed
data_Ce2TaVN6
_chemical_formula_sum 'Ce4 Ta2 V2 N12'
_space_group_name_H-M_alt 'P 1'
_space_group_IT_number 1
_space_group_name_Hall 'P 1'
_cell_length_a 5.521
_cell_length_b 5.614
_cell_length_c 9.552
_cell_angle_alpha 90.00
_cell_angle_beta 125.15
_cell_angle_gamma 90.00
loop_
_atom_site_label
_atom_site_fract_x
_atom_site_fract_y
_atom_site_fract_z
_atom_site_occupancy
Ce1 0.243 0.048 0.249 1
Ce2 0.243 0.452 0.749 1
Ce3 0.757 0.548 0.251 1
Ce4 0.757 0.952 0.751 1
Ta1 0.500 0.000 0.000 1
Ta2 0.500 0.500 0.500 1
V1 0.000 0.000 0.500 1
V2 0.000 0.500 0.000 1
N1 0.148 0.204 0.953 1
N2 0.148 0.296 0.453 1
N3 0.247 0.694 0.954 1
N4 0.247 0.806 0.454 1
N5 0.332 0.024 0.743 1
N6 0.332 0.476 0.243 1
N7 0.668 0.524 0.757 1
N8 0.668 0.976 0.257 1
N9 0.753 0.194 0.546 1
N10 0.753 0.306 0.046 1
N11 0.852 0.704 0.547 1
N12 0.852 0.796 0.047 1
# - ΔE_f (raw): -1.17 eV per atom

=====

No. 6
# CeTaVN3 | Alexandria | PBE | relaxed
data_CeTaVN3
_chemical_formula_sum 'Ce2 Ta2 V2 N6'
_space_group_name_H-M_alt 'P 1'
_space_group_IT_number 1
_space_group_name_Hall 'P 1'
_cell_length_a 6.772
_cell_length_b 3.101
_cell_length_c 7.861
_cell_angle_alpha 90.00
_cell_angle_beta 100.03
_cell_angle_gamma 90.00
loop_
_atom_site_label
_atom_site_fract_x
_atom_site_fract_y
_atom_site_fract_z
_atom_site_occupancy
Ce1 0.168 0.250 0.196 1
Ce2 0.832 0.750 0.804 1
Ta1 0.352 0.750 0.877 1
Ta2 0.648 0.250 0.123 1
V1 0.131 0.250 0.590 1
V2 0.869 0.750 0.410 1
N1 0.131 0.250 0.857 1
N2 0.173 0.750 0.450 1
N3 0.432 0.750 0.150 1
N4 0.568 0.250 0.850 1
N5 0.827 0.250 0.550 1
N6 0.869 0.750 0.143 1
# - ΔE_f (raw): -1.14 eV per atom

=====

No. 7
# Ce2ZrTaN6 | Alexandria | PBE | relaxed
data_Ce2ZrTaN6
_chemical_formula_sum 'Ce4 Zr2 Ta2 N12'
_space_group_name_H-M_alt 'P 1'
_space_group_IT_number 1
_space_group_name_Hall 'P 1'
_cell_length_a 5.677
_cell_length_b 5.825
_cell_length_c 9.877
_cell_angle_alpha 90.00
_cell_angle_beta 124.95
_cell_angle_gamma 90.00
loop_
_atom_site_label
_atom_site_fract_x
_atom_site_fract_y
_atom_site_fract_z
_atom_site_occupancy
Ce1 0.239 0.051 0.251 1
Ce2 0.239 0.449 0.751 1
Ce3 0.761 0.551 0.249 1
Ce4 0.761 0.949 0.749 1
Zr1 0.500 0.000 0.000 1
Zr2 0.500 0.500 0.500 1
Ta1 0.000 0.000 0.500 1
Ta2 0.000 0.500 0.000 1
N1 0.125 0.202 0.937 1
N2 0.125 0.298 0.437 1
N3 0.238 0.689 0.940 1
N4 0.238 0.811 0.440 1
N5 0.359 0.047 0.743 1
N6 0.359 0.453 0.243 1
N7 0.641 0.547 0.757 1
N8 0.641 0.953 0.257 1
N9 0.762 0.189 0.560 1
N10 0.762 0.311 0.060 1
N11 0.875 0.702 0.563 1
N12 0.875 0.798 0.063 1
# - ΔE_f (raw): -1.21 eV per atom

=====

No. 8
# Ce2ZrTaN5 | Alexandria | PBE | relaxed
data_Ce2ZrTaN5
_chemical_formula_sum 'Ce4 Zr2 Ta2 N10'
_space_group_name_H-M_alt 'P 1'
_space_group_IT_number 1
_space_group_name_Hall 'P 1'
_cell_length_a 7.024
_cell_length_b 7.024
_cell_length_c 10.548
_cell_angle_alpha 90.00
_cell_angle_beta 90.00
_cell_angle_gamma 151.81
loop_
_atom_site_label
_atom_site_fract_x
_atom_site_fract_y
_atom_site_fract_z
_atom_site_occupancy
Ce1 0.111 0.889 0.500 1
Ce2 0.145 0.855 0.093 1
Ce3 0.855 0.145 0.593 1
Ce4 0.889 0.111 0.000 1
Zr1 0.220 0.780 0.812 1
Zr2 0.780 0.220 0.312 1
Ta1 0.476 0.524 0.270 1
Ta2 0.524 0.476 0.770 1
N1 0.053 0.947 0.861 1
N2 0.278 0.722 0.460 1
N3 0.320 0.680 0.182 1
N4 0.377 0.623 0.809 1
N5 0.491 0.509 0.588 1
N6 0.509 0.491 0.088 1
N7 0.623 0.377 0.309 1
N8 0.680 0.320 0.682 1
N9 0.722 0.278 0.960 1
N10 0.947 0.053 0.361 1
# - ΔE_f (raw): -1.42 eV per atom

=====

> Look up the ΔE_f (raw) of the sixth one.

-1.14 eV per atom